[1]
Below is an optimized crystal structure of Nb5In2Si2, with properties calculated at the GGA-PBE level.

The electronic total energy is -0.566 Ry per atom. The space-group type is No. 64. Its total moment is 0.0 μB per cell.

```
18
Lattice="7.098 -3.460 0.000 7.098 3.460 0.000 0.000 0.000 6.790" Properties=species:S:1:pos:R:3 pbc="T T T"
Nb 0.000 0.000 0.000
Nb 5.485 2.276 4.579
Nb 5.485 1.184 1.184
Nb 8.711 2.276 4.579
Nb 8.711 1.184 1.184
Nb 7.098 0.000 3.395
Nb 5.485 -1.184 5.606
Nb 5.485 -2.276 2.211
Nb 8.711 -1.184 5.606
Nb 8.711 -2.276 2.211
In 3.147 0.000 0.000
In 3.951 0.000 3.395
In 10.245 0.000 3.395
In 11.048 0.000 0.000
Si 7.098 2.606 2.562
Si 7.098 0.854 5.957
Si 7.098 -0.854 0.833
Si 7.098 -2.606 4.228
```

***

[2]
Below is an optimized crystal structure of TbDy3Cd6, with properties calculated at the GGA-PBE level.

The electronic total energy is -0.197 Ry per atom. The space-group type is No. 11. The calculation puts the energy of formation at -2.90 eV/f.u. Its total moment is 0.0 μB per cell.

```
20
Lattice="9.191 0.000 0.000 0.000 5.157 0.000 -2.960 0.000 10.642" Properties=species:S:1:pos:R:3 pbc="T T T"
Tb -0.645 1.289 4.170
Tb 6.875 3.868 6.472
Dy -0.752 1.289 10.618
Dy 0.875 3.868 8.443
Dy 2.541 1.289 6.456
Dy 3.690 3.868 4.185
Dy 5.356 1.289 2.198
Dy 6.983 3.868 0.024
Cd -2.190 3.868 9.581
Cd 0.745 3.868 2.070
Cd -0.662 1.289 7.376
Cd 0.739 3.868 5.301
Cd 2.277 1.289 3.107
Cd 3.855 3.868 1.010
Cd 2.375 1.289 9.632
Cd 3.953 3.868 7.535
Cd 5.491 1.289 5.341
Cd 6.892 3.868 3.265
Cd 5.486 1.289 8.571
Cd 8.421 1.289 1.060
```